1.
A plane-wave DFT calculation with PBE was carried out for crystalline Cu4Ag at its relaxed geometry.

Results
E_form: 0.064 eV per atom
V: 13.03 Å³ per atom
E: -3.474 eV per atom
Space group: No. 11

Cell: 5.8857 3.7338 5.9285 Å, 90.00 90.57 90.00°
With the nearest neighbours (Å) after each atom.
Atoms (fractional coordinates):
Ag: 0.9448 0.7500 0.1596  10 Cu 2.62-2.78, 2 Ag 2.74
Ag: 0.0552 0.2500 0.8404  10 Cu 2.62-2.78, 2 Ag 2.74
Cu: 0.6335 0.2500 0.0485  9 Cu 2.50-2.70, 3 Ag 2.69-2.78
Cu: 0.2626 0.2500 0.2618  9 Cu 2.53-2.75, 3 Ag 2.71-2.77
Cu: 0.5406 0.7500 0.3532  11 Cu 2.52-2.66, 1 Ag 2.65
Cu: 0.8379 0.2500 0.4523  9 Cu 2.52-2.75, 3 Ag 2.62-2.63
Cu: 0.1621 0.7500 0.5477  9 Cu 2.52-2.75, 3 Ag 2.62-2.63
Cu: 0.4594 0.2500 0.6468  11 Cu 2.52-2.66, 1 Ag 2.65
Cu: 0.7375 0.7500 0.7382  9 Cu 2.53-2.75, 3 Ag 2.71-2.77
Cu: 0.3665 0.7500 0.9515  9 Cu 2.50-2.70, 3 Ag 2.69-2.78

2.
A plane-wave DFT calculation with PBE was carried out for crystalline AsPtAuO at its relaxed geometry.

Results
Magnetic moment: 0.1 μB per cell
V: 15.85 Å³ per atom
E: -4.575 eV per atom
Space group: No. 129

Cell: 4.2130 4.2130 7.1438 Å, 90.00 90.00 90.00°
With the nearest neighbours (Å) after each atom.
Atoms (fractional coordinates):
As: 0.0000 0.5000 0.3025  4 Pt 2.54
As: 0.5000 0.0000 0.6975  4 Pt 2.54
Au: 0.5000 0.0000 0.1237  4 O 2.28
Au: 0.0000 0.5000 0.8763  4 O 2.28
O: 0.0000 0.0000 0.0000  4 Au 2.28
O: 0.5000 0.5000 0.0000  4 Au 2.28
Pt: 0.0000 0.0000 0.5000  4 As 2.54
Pt: 0.5000 0.5000 0.5000  4 As 2.54

3.
A plane-wave DFT calculation with PBE was carried out for crystalline BaH3Pd at its relaxed geometry.

Results
V: 12.66 Å³ per atom
E: -3.909 eV per atom
Space group: No. 139

Cell: 5.6276 5.6276 5.6276 Å, 119.72 119.72 90.49°
With the nearest neighbours (Å) after each atom.
Atoms (fractional coordinates):
Ba: 0.7500 0.2500 0.5000  12 H 2.82-2.83
Ba: 0.2500 0.7500 0.5000  12 H 2.82-2.83
H: 0.7679 0.2321 0.0000  1 Pd 1.85
H: 0.2730 0.2730 0.0000  1 Pd 1.80
H: 0.7270 0.7270 0.0000  1 Pd 1.80
H: 0.2321 0.7679 0.0000  1 Pd 1.85
H: 0.2321 0.2321 0.4641  1 Pd 1.85
H: 0.7679 0.7679 0.5359  1 Pd 1.85
Pd: 0.0000 0.0000 0.0000  4 H 1.85
Pd: 0.5000 0.5000 0.0000  2 H 1.80

4.
A plane-wave DFT calculation with PBE was carried out for crystalline Li4TlSnPt2 at its relaxed geometry.

Results
Magnetic moment: 0.0 μB per cell
V: 16.26 Å³ per atom
E: -3.802 eV per atom
Space group: No. 115

Cell: 4.5237 4.5237 6.3557 Å, 90.00 90.00 90.00°
With the nearest neighbours (Å) after each atom.
Atoms (fractional coordinates):
Li: 0.5000 0.5000 0.0000  4 Pt 2.70, 4 Li 2.77
Li: 0.0000 0.5000 0.2516  2 Tl 2.76, 4 Li 2.76-2.77, 2 Sn 2.77, 1 Pt 3.08
Li: 0.0000 0.0000 0.5000  4 Li 2.76, 4 Pt 2.83
Li: 0.5000 0.0000 0.7484  2 Tl 2.76, 4 Li 2.76-2.77, 2 Sn 2.77, 1 Pt 3.08
Pt: 0.5000 0.0000 0.2329  2 Sn 2.70, 4 Li 2.70-2.83, 2 Tl 2.83
Pt: 0.0000 0.5000 0.7671  2 Sn 2.70, 4 Li 2.70-2.83, 2 Tl 2.83
Sn: 0.0000 0.0000 0.0000  4 Pt 2.70, 4 Li 2.77
Tl: 0.5000 0.5000 0.5000  4 Li 2.76, 4 Pt 2.83

5.
A plane-wave DFT calculation with PBE was carried out for crystalline TbGdCo2Sn at its relaxed geometry.

Results
Magnetic moment: 1.2 μB per cell
V: 20.52 Å³ per atom
E: -5.918 eV per atom
Space group: No. 38

Cell: 3.8572 7.1915 7.1915 Å, 30.95 90.00 90.00°
With the nearest neighbours (Å) after each atom.
Atoms (fractional coordinates):
Co: 0.5000 0.2033 0.2033  2 Co 2.31
Co: 0.5000 0.7960 0.7960  2 Co 2.31
Gd: 0.0000 0.3631 0.3631  6 Co 2.87-2.94
Sn: 0.5000 0.0005 0.0005  2 Co 2.81-2.83
Tb: 0.0000 0.6371 0.6371  6 Co 2.87-2.93

6.
A plane-wave DFT calculation with PBE was carried out for crystalline ScFe2Os at its relaxed geometry.

Results
E_form: 0.077 eV per atom
Magnetic moment: 4.3 μB per cell
V: 13.99 Å³ per atom
E: -8.466 eV per atom
Space group: No. 216

Cell: 4.2930 4.2930 4.2930 Å, 60.00 60.00 60.00°
With the nearest neighbours (Å) after each atom.
Atoms (fractional coordinates):
Fe: 0.5000 0.5000 0.5000  4 Fe 2.63, 4 Os 2.63
Fe: 0.7500 0.7500 0.7500  4 Fe 2.63, 4 Sc 2.63
Os: 0.2500 0.2500 0.2500  4 Fe 2.63, 4 Sc 2.63
Sc: 0.0000 0.0000 0.0000  4 Fe 2.63, 4 Os 2.63

7.
A plane-wave DFT calculation with PBE was carried out for crystalline CsNdSeS at its relaxed geometry.

Results
Magnetic moment: 0.0 μB per cell
V: 33.33 Å³ per atom
E: -5.074 eV per atom
Space group: No. 186

Cell: 4.3201 4.3201 16.4977 Å, 90.00 90.00 120.00°
With the nearest neighbours (Å) after each atom.
Atoms (fractional coordinates):
Cs: 0.6667 0.3333 0.2517  3 S 3.57, 3 Se 3.58
Cs: 0.3333 0.6667 0.7517  3 S 3.57, 3 Se 3.58
Nd: 0.0000 0.0000 0.4951  3 S 2.89, 3 Se 3.00
Nd: 0.0000 0.0000 0.9951  3 S 2.89, 3 Se 3.00
S: 0.3333 0.6667 0.4069  3 Nd 2.89
S: 0.6667 0.3333 0.9069  3 Nd 2.89
Se: 0.3333 0.6667 0.0962  3 Nd 3.00
Se: 0.6667 0.3333 0.5962  3 Nd 3.00

8.
A plane-wave DFT calculation with PBE was carried out for crystalline CuAg3 at its relaxed geometry.

Results
E_form: 0.068 eV per atom
V: 16.53 Å³ per atom
E: -2.980 eV per atom
Space group: No. 160

Cell: 18.7015 18.7015 18.7015 Å, 8.78 8.78 8.78°
With the nearest neighbours (Å) after each atom.
Atoms (fractional coordinates):
Ag: 0.1223 0.1223 0.1223  12 Ag 2.86-2.96
Ag: 0.2538 0.2538 0.2538  3 Cu 2.75, 9 Ag 2.86-2.97
Ag: 0.4993 0.4993 0.4993  12 Ag 2.86-2.95
Ag: 0.7451 0.7451 0.7451  3 Cu 2.75, 9 Ag 2.86-2.96
Ag: 0.8764 0.8764 0.8764  12 Ag 2.86-2.97
Ag: 0.9992 0.9992 0.9992  6 Cu 2.75-2.78, 6 Ag 2.86
Cu: 0.3725 0.3725 0.3725  6 Ag 2.75-2.78, 6 Cu 2.86
Cu: 0.6265 0.6265 0.6265  6 Ag 2.75, 6 Cu 2.86

9.
A plane-wave DFT calculation with PBE was carried out for crystalline ErTmH2O4 at its relaxed geometry.

Results
Magnetic moment: 0.0 μB per cell
V: 10.43 Å³ per atom
E: -7.137 eV per atom
Space group: No. 6

Cell: 4.2561 3.5530 5.8569 Å, 90.00 109.63 90.00°
With the nearest neighbours (Å) after each atom.
Atoms (fractional coordinates):
Er: 0.1643 0.0000 0.8103  7 O 2.24-2.40
H: 0.5089 0.0000 0.4049  1 O 0.97
H: 0.4906 0.5000 0.5938  1 O 0.97
O: 0.2693 0.5000 0.0572  2 Tm 2.23-2.27, 2 Er 2.24
O: 0.7473 0.0000 0.4334  1 H 0.97
O: 0.2515 0.5000 0.5632  1 H 0.97
O: 0.7326 0.0000 0.9471  2 Tm 2.23, 2 Er 2.24-2.28
Tm: 0.8355 0.5000 0.1902  7 O 2.23-2.38

10.
A plane-wave DFT calculation with PBE was carried out for crystalline GdHIBr at its relaxed geometry.

Results
Magnetic moment: 0.0 μB per cell
V: 26.05 Å³ per atom
E: -4.174 eV per atom
Space group: No. 187

Cell: 3.9574 3.9574 15.3655 Å, 90.00 90.00 120.00°
With the nearest neighbours (Å) after each atom.
Atoms (fractional coordinates):
Br: 0.0000 0.0000 0.1235  3 H 2.97, 3 Gd 2.97
Br: 0.0000 0.0000 0.8765  3 H 2.97, 3 Gd 2.97
Gd: 0.3333 0.6667 0.0000  3 H 2.28
Gd: 0.3333 0.6667 0.5000  3 H 2.28
H: 0.6667 0.3333 0.0000  3 Gd 2.28
H: 0.0000 0.0000 0.5000  3 Gd 2.28
I: 0.6667 0.3333 0.3601  3 Gd 3.14, 3 H 3.14
I: 0.6667 0.3333 0.6399  3 Gd 3.14, 3 H 3.14

11.
A plane-wave DFT calculation with PBE was carried out for crystalline BaLiNd at its relaxed geometry.

Results
Magnetic moment: 0.0 μB per cell
V: 40.21 Å³ per atom
E: -2.166 eV per atom
Space group: No. 216

Cell: 5.5461 5.5461 5.5461 Å, 60.00 60.00 60.00°
With the nearest neighbours (Å) after each atom.
Atoms (fractional coordinates):
Ba: 0.2500 0.2500 0.2500  4 Nd 3.40
Li: 0.7500 0.7500 0.7500  4 Nd 3.40
Nd: 0.0000 0.0000 0.0000  4 Li 3.40, 4 Ba 3.40

12.
A plane-wave DFT calculation with PBE was carried out for crystalline ZnCuBi2 at its relaxed geometry.

Results
V: 24.22 Å³ per atom
E: -2.870 eV per atom
Space group: No. 216

Cell: 5.1549 5.1549 5.1549 Å, 60.00 60.00 60.00°
With the nearest neighbours (Å) after each atom.
Atoms (fractional coordinates):
Bi: 0.0000 0.0000 0.0000  4 Bi 3.16, 4 Cu 3.16
Bi: 0.7500 0.7500 0.7500  4 Zn 3.16, 4 Bi 3.16
Cu: 0.2500 0.2500 0.2500  4 Zn 3.16, 4 Bi 3.16
Zn: 0.5000 0.5000 0.5000  4 Cu 3.16, 4 Bi 3.16